DFT (GGA-PBE) results for a relaxed structure of YbCuBi.

Lattice parameters (Å, degrees): 4.6796 4.6796 7.5837 90.00 90.00 120.00
Element x y z (fractional)
Yb 0.0000 0.0000 0.0000
Yb 0.0000 0.0000 0.5000
Cu 0.3333 0.6667 0.3221
Cu 0.6667 0.3333 0.8221
Bi 0.3333 0.6667 0.7306
Bi 0.6667 0.3333 0.2306

Computed properties:
The density of states at the Fermi level is 5.08 states/eV/atom. The total energy comes out at -0.26802 Ry per atom. The value obtained for the formation energy is -1.4 eV/f.u.



DFT (GGA-PBE) results for a relaxed structure of TiZn2In2.

Lattice parameters (Å, degrees): 7.7971 7.7971 3.2554 90.00 90.00 90.00
Element x y z (fractional)
Ti 0.0000 0.0000 0.0000
Ti 0.5000 0.5000 0.0000
Zn 0.1617 0.3383 0.5000
Zn 0.3383 0.8383 0.5000
Zn 0.6617 0.1617 0.5000
Zn 0.8383 0.6617 0.5000
In 0.1411 0.6411 0.0000
In 0.3589 0.1411 0.0000
In 0.6411 0.8589 0.0000
In 0.8589 0.3589 0.0000

Computed properties:
The offset from the most stable computed form is 109.4 meV per atom. The density of states at the Fermi level is 0.68 states/eV/atom. The total energy comes out at -0.21735 Ry per atom. The value obtained for the formation energy is 1.1 eV/f.u.



DFT (GGA-PBE) results for a relaxed structure of EuHo2O4.

Lattice parameters (Å, degrees): 10.0445 3.4013 11.9253 90.00 90.00 90.00
Element x y z (fractional)
Eu 0.2473 0.2500 0.1492
Eu 0.2527 0.7500 0.6492
Eu 0.7473 0.2500 0.3508
Eu 0.7527 0.7500 0.8508
Ho 0.0770 0.2500 0.3877
Ho 0.0773 0.2500 0.8893
Ho 0.4227 0.7500 0.3893
Ho 0.4230 0.7500 0.8877
Ho 0.5770 0.2500 0.1123
Ho 0.5773 0.2500 0.6107
Ho 0.9227 0.7500 0.1107
Ho 0.9230 0.7500 0.6123
O 0.0146 0.7500 0.7839
O 0.0765 0.2500 0.5779
O 0.1269 0.7500 0.0206
O 0.2112 0.7500 0.3239
O 0.2888 0.2500 0.8239
O 0.3731 0.2500 0.5206
O 0.4235 0.7500 0.0779
O 0.4854 0.2500 0.2839
O 0.5146 0.7500 0.7161
O 0.5765 0.2500 0.9221
O 0.6269 0.7500 0.4794
O 0.7112 0.7500 0.1761
O 0.7888 0.2500 0.6761
O 0.8731 0.2500 0.9794
O 0.9235 0.7500 0.4221
O 0.9854 0.2500 0.2161

Computed properties:
For the uncorrected formation energy, the calculation gives -3.35 eV per atom. The density of states at the Fermi level is 1.51 states/eV/atom. The total energy comes out at -0.65832 Ry per atom.